No. 1
DFT (PBE) results for a relaxed structure of Zr5Ta.

Lattice parameters (Å, degrees): 3.4815 5.0285 7.9981 108.32 90.00 90.00
Atoms (fractional coordinates):
Zr (0.0000, 0.6732, 0.3465)
Zr (0.0000, 0.3268, 0.6535)
Zr (0.5000, 0.5000, 0.0000)
Zr (0.5000, 0.1507, 0.3014)
Zr (0.5000, 0.8493, 0.6986)
Ta (0.0000, 0.0000, 0.0000)

Properties
Energy of formation from the pure elements = 109 meV per atom
Theoretical density = 7.96 Mg/m³
Space group = No. 65

=====

No. 2
DFT (PBE) results for a relaxed structure of Zr5Ta3.

Lattice parameters (Å, degrees): 8.3582 8.3582 5.7669 90.00 90.00 60.00
Atoms (fractional coordinates):
Zr (0.7552, 0.2449, 0.2500)
Zr (0.2449, 0.7551, 0.7500)
Zr (0.2449, 0.0000, 0.2500)
Zr (0.0000, 0.2449, 0.7500)
Zr (0.6667, 0.6667, 0.0000)
Zr (0.6667, 0.6667, 0.5000)
Zr (0.3333, 0.3333, 0.0000)
Zr (0.3333, 0.3333, 0.5000)
Zr (0.7551, 0.0000, 0.7500)
Zr (0.0000, 0.7551, 0.2500)
Ta (0.6012, 0.3988, 0.7500)
Ta (0.3988, 0.6012, 0.2500)
Ta (0.3988, 0.0000, 0.7500)
Ta (0.0000, 0.3988, 0.2500)
Ta (0.6012, 0.0000, 0.2500)
Ta (0.0000, 0.6012, 0.7500)

Properties
Energy of formation from the pure elements = 249 meV per atom
Theoretical density = 9.51 Mg/m³
Space group = No. 193

=====

No. 3
DFT (PBE) results for a relaxed structure of ZrTa2.

Lattice parameters (Å, degrees): 5.9110 4.7992 8.4096 90.00 90.00 90.00
Atoms (fractional coordinates):
Zr (0.1787, 0.2500, 0.9138)
Zr (0.3213, 0.7500, 0.4138)
Zr (0.6787, 0.2500, 0.5862)
Zr (0.8213, 0.7500, 0.0862)
Ta (0.0064, 0.2500, 0.2620)
Ta (0.1664, 0.2500, 0.5707)
Ta (0.3336, 0.7500, 0.0707)
Ta (0.4936, 0.7500, 0.7620)
Ta (0.5064, 0.2500, 0.2380)
Ta (0.6664, 0.2500, 0.9293)
Ta (0.8336, 0.7500, 0.4293)
Ta (0.9936, 0.7500, 0.7380)

Properties
Energy of formation from the pure elements = 182 meV per atom
Theoretical density = 12.62 Mg/m³
Space group = No. 62

=====

No. 4
DFT (PBE) results for a relaxed structure of Zr2Ta3.

Lattice parameters (Å, degrees): 8.8342 7.6938 5.8778 80.00 59.06 40.94
Atoms (fractional coordinates):
Zr (0.8561, 0.2549, 0.5186)
Zr (0.3704, 0.5186, 0.2549)
Zr (0.9951, 0.3939, 0.8796)
Zr (0.7314, 0.8796, 0.3939)
Ta (0.4258, 0.7970, 0.4330)
Ta (0.3442, 0.4330, 0.7970)
Ta (0.4530, 0.8242, 0.9058)
Ta (0.8170, 0.9058, 0.8242)
Ta (0.0036, 0.9964, 0.9964)
Ta (0.2536, 0.2464, 0.2464)

Properties
Energy of formation from the pure elements = 219 meV per atom
Theoretical density = 11.61 Mg/m³
Space group = No. 43

=====

Copy entry 2 word for word.
DFT (PBE) results for a relaxed structure of Zr5Ta3.

Lattice parameters (Å, degrees): 8.3582 8.3582 5.7669 90.00 90.00 60.00
Atoms (fractional coordinates):
Zr (0.7552, 0.2449, 0.2500)
Zr (0.2449, 0.7551, 0.7500)
Zr (0.2449, 0.0000, 0.2500)
Zr (0.0000, 0.2449, 0.7500)
Zr (0.6667, 0.6667, 0.0000)
Zr (0.6667, 0.6667, 0.5000)
Zr (0.3333, 0.3333, 0.0000)
Zr (0.3333, 0.3333, 0.5000)
Zr (0.7551, 0.0000, 0.7500)
Zr (0.0000, 0.7551, 0.2500)
Ta (0.6012, 0.3988, 0.7500)
Ta (0.3988, 0.6012, 0.2500)
Ta (0.3988, 0.0000, 0.7500)
Ta (0.0000, 0.3988, 0.2500)
Ta (0.6012, 0.0000, 0.2500)
Ta (0.0000, 0.6012, 0.7500)

Properties
Energy of formation from the pure elements = 249 meV per atom
Theoretical density = 9.51 Mg/m³
Space group = No. 193